A PBEsol-optimized structure of Al2AgAu. Source: Alexandria, functional SCAN.

a b c (Å): 3.0000 4.4396 5.0362
angles (deg): 90.00 92.84 90.00
Positions (direct):
1 Al 0.7055 0.0000 0.7558
2 Au 0.5000 0.5000 0.5000
3 Al 0.2945 0.0000 0.2442
4 Ag 0.0000 0.5000 0.0000

Output
Raw total energy ... -29.1844 eV/atom
ΔH_f (0 K) ... -0.71 eV/f.u.

=====

A PBEsol-optimized structure of LiY2Re. Source: Alexandria, functional SCAN.

a b c (Å): 3.3534 3.3534 10.1184
angles (deg): 80.46 80.46 60.00
Positions (direct):
1 Re 0.0000 0.0000 0.0000
2 Li 0.5000 0.5000 0.5000
3 Y 0.2645 0.2645 0.2065
4 Y 0.7355 0.7355 0.7935

Output
Raw total energy ... -31.9442 eV/atom
ΔH_f (0 K) ... 1.40 eV/f.u.

=====

A PBEsol-optimized structure of KZnCl2. Source: Alexandria, functional SCAN.

a b c (Å): 3.6588 3.7617 7.2600
angles (deg): 90.00 90.00 90.00
Positions (direct):
1 Cl 0.0000 0.0000 0.2467
2 Zn 0.0000 0.5000 0.5000
3 Cl 0.0000 0.0000 0.7533
4 K 0.5000 0.5000 0.0000

Output
Relative energy among the computed polymorphs ... 0.00 eV/f.u.
Raw total energy ... -10.5797 eV/atom
ΔE_f (raw) ... -1.13 eV per atom

=====

A PBEsol-optimized structure of GePd3I. Source: Alexandria, functional SCAN.

a b c (Å): 4.6715 4.6715 4.6715
angles (deg): 90.00 90.00 90.00
Positions (direct):
1 I 0.5000 0.5000 0.5000
2 Pd 0.0000 0.5000 0.0000
3 Pd 0.0000 0.0000 0.5000
4 Pd 0.5000 0.0000 0.0000
5 Ge 0.0000 0.0000 0.0000

Output
Raw total energy ... -30.6514 eV/atom
ΔE_f (raw) ... 0.18 eV per atom

=====

A PBEsol-optimized structure of Sn3PbSe. Source: Alexandria, functional SCAN.

a b c (Å): 5.6820 5.6820 5.6820
angles (deg): 90.00 90.00 90.00
Positions (direct):
1 Se 0.5000 0.5000 0.5000
2 Sn 0.0000 0.5000 0.0000
3 Pb 0.0000 0.0000 0.0000
4 Sn 0.0000 0.0000 0.5000
5 Sn 0.5000 0.0000 0.0000

Output
Raw total energy ... -39.8967 eV/atom
ΔE_f (raw) ... 0.83 eV per atom

=====

A PBEsol-optimized structure of CsLiFe3. Source: Alexandria, functional SCAN.

a b c (Å): 4.4582 4.4582 4.4582
angles (deg): 90.00 90.00 90.00
Site moments in Bohr magnetons follow the coordinates.
Positions (direct):
1 Fe 0.0000 0.0000 0.5000  3.04
2 Li 0.0000 0.0000 0.0000  -0.04
3 Cs 0.5000 0.5000 0.5000  0.02
4 Fe 0.0000 0.5000 0.0000  3.04
5 Fe 0.5000 0.0000 0.0000  3.04

Output
Raw total energy ... -17.3773 eV/atom
ΔH_f (0 K) ... 7.70 eV/f.u.

=====

A PBEsol-optimized structure of Cd3AgCl. Source: Alexandria, functional SCAN.

a b c (Å): 5.2115 5.2115 5.2115
angles (deg): 90.00 90.00 90.00
Positions (direct):
1 Ag 0.5000 0.5000 0.5000
2 Cd 0.5000 0.0000 0.0000
3 Cl 0.0000 0.0000 0.0000
4 Cd 0.0000 0.0000 0.5000
5 Cd 0.0000 0.5000 0.0000

Output
Relative energy among the computed polymorphs ... 3.15 eV/f.u.
Raw total energy ... -25.5235 eV/atom
ΔE_f (raw) ... 0.59 eV per atom

=====

A PBEsol-optimized structure of TiAs2RuSe. Source: Alexandria, functional SCAN.

a b c (Å): 4.5635 4.5635 5.1837
angles (deg): 90.00 90.00 90.00
Site moments in Bohr magnetons follow the coordinates.
Positions (direct):
1 Se 0.0000 0.0000 0.5000  -0.06
2 As 0.0000 0.5000 0.0000  -0.07
3 Ru 0.0000 0.0000 0.0000  0.09
4 As 0.5000 0.0000 0.0000  -0.07
5 Ti 0.5000 0.5000 0.5000  1.72

Output
Raw total energy ... -21.8616 eV/atom
ΔE_f (raw) ... 0.40 eV per atom

=====

no.,magnetic moment (μB/f.u.)
1,0.0
2,0.0
3,0.0
4,0.0
5,0.0
6,8.8
7,0.0
8,1.8